Crystalline CePmThBi at its relaxed geometry. Source: the Alexandria database, functional PBE.

extended XYZ file:
```
4
Lattice="0.0000 3.9485 3.9485 3.9485 0.0000 3.9485 3.9485 3.9485 0.0000" Properties=species:S:1:pos:R:3 pbc="T T T"
Ce 0.0000 0.0000 0.0000
Pm 1.9742 1.9742 1.9742
Th 5.9227 5.9227 5.9227
Bi 3.9485 3.9485 3.9485
```

Energy relative to the elements: -1.7 kcal/mol of atoms